No. 1
First-principles (PBE) data for RbMgCd2In after structural relaxation, as listed in Alexandria via LeMat-Bulk.

Properties
The value obtained for the offset from the most stable computed form is 214.8 meV/atom. The volume is 43.76 Å³/atom. The value obtained for the formation energy is 0.339 eV/atom. The value obtained for the raw total energy is -1.09 eV/atom.

Cell: 5.679 5.679 6.785 Å, 90.00 90.00 90.00°
Fractional coordinates of all 5 atoms:
Rb 0.000 0.000 0.000
Mg 0.500 0.500 0.000
Cd 0.000 0.500 0.500
Cd 0.500 0.000 0.500
In 0.000 0.000 0.500

=====

No. 2
First-principles (PBE) data for PmScTlHg after structural relaxation, as listed in Alexandria via LeMat-Bulk.

Properties
The volume is 25.74 Å³/atom. The value obtained for the formation energy is -0.375 eV/atom. The value obtained for the raw total energy is -3.81 eV/atom.

Cell: 5.261 5.261 5.261 Å, 60.00 60.00 60.00°
Fractional coordinates of all 4 atoms:
Pm 0.000 0.000 0.000
Sc 0.500 0.500 0.500
Tl 0.250 0.250 0.250
Hg 0.750 0.750 0.750

=====

No. 3
First-principles (PBE) data for HgAuSe2 after structural relaxation, as listed in Alexandria via LeMat-Bulk.

Properties
The volume is 25.34 Å³/atom. For the uncorrected formation energy, the calculation gives 0.39 eV per atom. The value obtained for the raw total energy is -2.25 eV/atom.

Cell: 3.691 3.691 7.439 Å, 90.00 90.00 90.00°
Fractional coordinates of all 4 atoms:
Hg 0.000 0.000 0.000
Au 0.000 0.000 0.500
Se 0.500 0.500 0.334
Se 0.500 0.500 0.666

=====

No. 4
First-principles (PBE) data for RbHoTm2 after structural relaxation, as listed in Alexandria via LeMat-Bulk.

Properties
The volume is 35.92 Å³/atom. The value obtained for the formation energy is 0.326 eV/atom. The value obtained for the raw total energy is -3.30 eV/atom.

Cell: 13.196 13.196 13.196 Å, 15.54 15.54 15.54°
Fractional coordinates of all 4 atoms:
Rb 0.000 0.000 0.000
Ho 0.500 0.500 0.500
Tm 0.096 0.096 0.096
Tm 0.904 0.904 0.904

=====

No. 5
First-principles (PBE) data for NiRu2Pt after structural relaxation, as listed in Alexandria via LeMat-Bulk.

Properties
The value obtained for the offset from the most stable computed form is 129.2 meV/atom. The volume is 13.64 Å³/atom. The value obtained for the formation energy is 0.131 eV/atom. The value obtained for the raw total energy is -7.46 eV/atom.

Cell: 2.713 2.713 7.415 Å, 90.00 90.00 90.00°
Fractional coordinates of all 4 atoms:
Ni 0.000 0.000 0.000
Ru 0.500 0.500 0.231
Ru 0.500 0.500 0.769
Pt 0.000 0.000 0.500

=====

No. 6
First-principles (PBE) data for Ca2MgSe after structural relaxation, as listed in Alexandria via LeMat-Bulk.

Properties
The value obtained for the offset from the most stable computed form is 241.1 meV/atom. The volume is 28.47 Å³/atom. For the uncorrected formation energy, the calculation gives -0.65 eV per atom. The value obtained for the raw total energy is -2.92 eV/atom.

Cell: 6.660 6.660 6.660 Å, 141.45 141.45 55.66°
Fractional coordinates of all 4 atoms:
Ca 0.000 0.000 0.000
Ca 0.750 0.250 0.500
Mg 0.250 0.750 0.500
Se 0.500 0.500 0.000

=====

No. 7
First-principles (PBE) data for CdAg2P after structural relaxation, as listed in Alexandria via LeMat-Bulk.

Properties
The value obtained for the offset from the most stable computed form is 109.7 meV/atom. The volume is 18.65 Å³/atom. The value obtained for the formation energy is 0.263 eV/atom. The value obtained for the raw total energy is -2.74 eV/atom.

Cell: 4.725 4.725 4.725 Å, 60.00 60.00 60.00°
Fractional coordinates of all 4 atoms:
Cd 0.000 0.000 0.000
Ag 0.250 0.250 0.250
Ag 0.750 0.750 0.750
P 0.500 0.500 0.500

=====

No. 8
First-principles (PBE) data for Hg3ClF3 after structural relaxation, as listed in Alexandria via LeMat-Bulk.

Properties
The volume is 21.61 Å³/atom. For the uncorrected formation energy, the calculation gives -1.05 eV per atom. The value obtained for the raw total energy is -2.25 eV/atom.

Cell: 8.746 8.746 8.746 Å, 44.83 44.83 44.83°
Fractional coordinates of all 14 atoms:
Hg 0.264 0.264 0.681
Hg 0.264 0.681 0.264
Hg 0.319 0.736 0.736
Hg 0.681 0.264 0.264
Hg 0.736 0.319 0.736
Hg 0.736 0.736 0.319
Cl 0.139 0.139 0.139
Cl 0.861 0.861 0.861
F 0.140 0.140 0.598
F 0.140 0.598 0.140
F 0.402 0.860 0.860
F 0.598 0.140 0.140
F 0.860 0.402 0.860
F 0.860 0.860 0.402